First-principles (GGA-PBE) data for crystalline LuZrTcHg at its relaxed geometry, as listed in Alexandria.

Summary:
For the calculated total energy, the calculation gives -97.908 eV per cell.

CIF file:
```
data_LuZrTcHg
_chemical_formula_sum 'Lu4 Zr4 Tc4 Hg4'
_cell_length_a 6.895
_cell_length_b 6.895
_cell_length_c 6.895
_cell_angle_alpha 90.00
_cell_angle_beta 90.00
_cell_angle_gamma 90.00
_space_group_name_H-M_alt 'F -4 3 m'
_space_group_IT_number 216
_space_group_name_Hall 'F -4 2 3'
loop_
_atom_site_label
_atom_site_fract_x
_atom_site_fract_y
_atom_site_fract_z
_atom_site_occupancy
Lu1 0.000 0.000 0.000 1
Zr1 0.000 0.000 0.500 1
Tc1 0.250 0.250 0.250 1
Hg1 0.250 0.250 0.750 1
```